--- A ---
CdAg2Au6: optimized geometry, PBE-GGA.

CIF file:
```
data_CdAg2Au6
_symmetry_space_group_name_H-M 'I m m m'
_symmetry_Int_Tables_number 71
_symmetry_space_group_name_Hall '-I 2 2'
_cell_length_a 4.0841
_cell_length_b 8.4037
_cell_length_c 11.3476
_cell_angle_alpha 90.00
_cell_angle_beta 90.00
_cell_angle_gamma 90.00
loop_
_atom_site_label
_atom_site_fract_x
_atom_site_fract_y
_atom_site_fract_z
_atom_site_occupancy
Cd1 0.0000 0.0000 0.0000 1
Ag1 0.0000 0.0000 0.3321 1
Au1 0.0000 0.2533 0.5000 1
Au2 0.0000 0.2580 0.1672 1
```

The value obtained for the calculated density is 12.9 g cm⁻³. The total magnetization comes out at 0.000 μB/atom.



--- B ---
CdAg2Au6: optimized geometry, PBE-GGA.

CIF file:
```
data_CdAg2Au6
_symmetry_space_group_name_H-M 'P 42/m n m'
_symmetry_Int_Tables_number 136
_symmetry_space_group_name_Hall '-P 4n 2n'
_cell_length_a 8.7452
_cell_length_b 8.7452
_cell_length_c 4.2904
_cell_angle_alpha 90.00
_cell_angle_beta 90.00
_cell_angle_gamma 90.00
loop_
_atom_site_label
_atom_site_fract_x
_atom_site_fract_y
_atom_site_fract_z
_atom_site_occupancy
Cd1 0.0000 0.0000 0.0000 1
Ag1 0.1692 0.1692 0.5000 1
Au1 0.0016 0.3333 0.0000 1
Au2 0.1653 0.8347 0.5000 1
```

The value obtained for the calculated density is 15.3 g cm⁻³. The total magnetization comes out at 0.000 μB/atom.



Pick B: it beats the second-best structure by 113 meV per atom.



--- A ---
CdAg2Au5: optimized geometry, PBE-GGA.

CIF file:
```
data_CdAg2Au5
_symmetry_space_group_name_H-M 'I 4/m c m'
_symmetry_Int_Tables_number 140
_symmetry_space_group_name_Hall '-I 4 2c'
_cell_length_a 7.3177
_cell_length_b 7.3177
_cell_length_c 11.3407
_cell_angle_alpha 90.00
_cell_angle_beta 90.00
_cell_angle_gamma 90.00
loop_
_atom_site_label
_atom_site_fract_x
_atom_site_fract_y
_atom_site_fract_z
_atom_site_occupancy
Cd1 0.0000 0.0000 0.2500 1
Ag1 0.1458 0.3542 0.0000 1
Au1 0.0000 0.0000 0.0000 1
Au2 0.1491 0.3509 0.3345 1
```

The value obtained for the calculated density is 14.4 g cm⁻³. The total magnetization comes out at 0.000 μB/atom.



--- B ---
CdAg2Au5: optimized geometry, PBE-GGA.

CIF file:
```
data_CdAg2Au5
_symmetry_space_group_name_H-M 'P b a m'
_symmetry_Int_Tables_number 55
_symmetry_space_group_name_Hall '-P 2 2ab'
_cell_length_a 9.6378
_cell_length_b 10.1272
_cell_length_c 6.0005
_cell_angle_alpha 90.00
_cell_angle_beta 90.00
_cell_angle_gamma 90.00
loop_
_atom_site_label
_atom_site_fract_x
_atom_site_fract_y
_atom_site_fract_z
_atom_site_occupancy
Cd1 0.2480 0.0817 0.0000 1
Ag1 0.0000 0.5000 0.2524 1
Ag2 0.2497 0.0821 0.5000 1
Au1 0.0000 0.0000 0.2519 1
Au2 0.0009 0.7489 0.5000 1
Au3 0.0019 0.7475 0.0000 1
Au4 0.2486 0.3329 0.2518 1
```

The value obtained for the calculated density is 14.9 g cm⁻³. The total magnetization comes out at 0.000 μB/atom.



Pick B: it beats the second-best structure by 64 meV per atom.



--- A ---
Cd6AgAu3: optimized geometry, PBE-GGA.

CIF file:
```
data_Cd6AgAu3
_symmetry_space_group_name_H-M 'C m c 21'
_symmetry_Int_Tables_number 36
_symmetry_space_group_name_Hall 'C 2c -2'
_cell_length_a 10.5996
_cell_length_b 14.5013
_cell_length_c 5.7580
_cell_angle_alpha 90.00
_cell_angle_beta 90.00
_cell_angle_gamma 90.00
loop_
_atom_site_label
_atom_site_fract_x
_atom_site_fract_y
_atom_site_fract_z
_atom_site_occupancy
Cd1 0.0000 0.0250 0.0000 1
Cd2 0.0000 0.2397 0.8927 1
Cd3 0.1531 0.4811 0.8696 1
Cd4 0.2464 0.1920 0.1312 1
Ag1 0.0000 0.1880 0.3586 1
Au1 0.0000 0.3749 0.5493 1
Au2 0.1835 0.1157 0.6686 1
```

The value obtained for the calculated density is 10.3 g cm⁻³. The total magnetization comes out at 0.000 μB/atom.



--- B ---
Cd6AgAu3: optimized geometry, PBE-GGA.

CIF file:
```
data_Cd6AgAu3
_symmetry_space_group_name_H-M 'P 1 21/m 1'
_symmetry_Int_Tables_number 11
_symmetry_space_group_name_Hall '-P 2yb'
_cell_length_a 8.1563
_cell_length_b 4.8595
_cell_length_c 10.6945
_cell_angle_alpha 90.00
_cell_angle_beta 110.70
_cell_angle_gamma 90.00
loop_
_atom_site_label
_atom_site_fract_x
_atom_site_fract_y
_atom_site_fract_z
_atom_site_occupancy
Cd1 0.0028 0.2500 0.1642 1
Cd2 0.0063 0.2500 0.6688 1
Cd3 0.2105 0.7500 0.1354 1
Cd4 0.2175 0.2500 0.4792 1
Cd5 0.3964 0.7500 0.9284 1
Cd6 0.4255 0.2500 0.2805 1
Ag1 0.3936 0.7500 0.4295 1
Au1 0.1845 0.7500 0.6300 1
Au2 0.1991 0.2500 0.9712 1
Au3 0.4006 0.2500 0.7734 1
```

The value obtained for the calculated density is 11.5 g cm⁻³. The total magnetization comes out at 0.000 μB/atom.



Pick B: it beats the second-best structure by 71 meV per atom.



--- A ---
CsCd2AgAu: optimized geometry, PBE-GGA.

CIF file:
```
data_CsCd2AgAu
_symmetry_space_group_name_H-M 'P 4/m m m'
_symmetry_Int_Tables_number 123
_symmetry_space_group_name_Hall '-P 4 2'
_cell_length_a 5.4139
_cell_length_b 5.4139
_cell_length_c 5.5700
_cell_angle_alpha 90.00
_cell_angle_beta 90.00
_cell_angle_gamma 90.00
loop_
_atom_site_label
_atom_site_fract_x
_atom_site_fract_y
_atom_site_fract_z
_atom_site_occupancy
Cs1 0.0000 0.0000 0.0000 1
Cd1 0.0000 0.5000 0.5000 1
Ag1 0.5000 0.5000 0.0000 1
Au1 0.5000 0.5000 0.5000 1
```

The value obtained for the calculated density is 6.7 g cm⁻³. The total magnetization comes out at 0.000 μB/atom.



--- B ---
CsCd2AgAu: optimized geometry, PBE-GGA.

CIF file:
```
data_CsCd2AgAu
_symmetry_space_group_name_H-M 'P 4/m m m'
_symmetry_Int_Tables_number 123
_symmetry_space_group_name_Hall '-P 4 2'
_cell_length_a 5.4460
_cell_length_b 5.4460
_cell_length_c 5.5497
_cell_angle_alpha 90.00
_cell_angle_beta 90.00
_cell_angle_gamma 90.00
loop_
_atom_site_label
_atom_site_fract_x
_atom_site_fract_y
_atom_site_fract_z
_atom_site_occupancy
Cs1 0.0000 0.0000 0.0000 1
Cd1 0.0000 0.5000 0.5000 1
Ag1 0.5000 0.5000 0.5000 1
Au1 0.5000 0.5000 0.0000 1
```

The value obtained for the calculated density is 6.7 g cm⁻³. The total magnetization comes out at 0.000 μB/atom.



Pick A: it beats the second-best structure by 55 meV per atom.